VASP calculation (PBE) on an optimized crystal structure of Ni5Ir4.

Computed properties:
For the formation energy, the calculation gives 1.09 kcal/mol of atoms. For the polymorph energy (0 for the lowest one), the calculation gives 0.35 eV per formula unit. For the uncorrected energy, the calculation gives -7.103 eV/atom.

extended XYZ file:
```
9
Lattice="3.757 0.000 0.000 1.879 5.504 0.000 -1.879 0.000 5.504" Properties=species:S:1:pos:R:3 pbc="T T T"
Ir 1.879 3.699 1.805
Ir 1.879 1.805 3.699
Ir 0.000 1.805 1.805
Ir 0.000 3.699 3.699
Ni 0.000 0.000 0.000
Ni 0.000 0.000 3.686
Ni 1.879 0.000 1.818
Ni 3.757 3.686 0.000
Ni 1.879 1.818 0.000
```